[1]
VASP calculation (SCAN) on a crystal of CdCu relaxed with PBEsol.

Its formation energy is 0.164 eV per atom. The volume is 31.3 Å³/cell.

```
data_CdCu
_chemical_formula_sum 'Cd1 Cu1'
_cell_length_a 2.868
_cell_length_b 2.868
_cell_length_c 4.695
_cell_angle_alpha 72.22
_cell_angle_beta 72.22
_cell_angle_gamma 60.00
_space_group_name_H-M_alt 'P 1'
_space_group_IT_number 1
_space_group_name_Hall 'P 1'
loop_
_atom_site_label
_atom_site_type_symbol
_atom_site_fract_x
_atom_site_fract_y
_atom_site_fract_z
_atom_site_occupancy
Cd1 Cd 0.000 0.000 0.000 1
Cu1 Cu 0.500 0.500 0.500 1
```

[2]
VASP calculation (SCAN) on a crystal of Sn3GeI relaxed with PBEsol.

For the raw formation energy, the calculation gives 6.108 eV per formula unit. The volume is 187.2 Å³/cell.

```
data_Sn3GeI
_chemical_formula_sum 'Sn3 Ge1 I1'
_cell_length_a 5.720
_cell_length_b 5.720
_cell_length_c 5.720
_cell_angle_alpha 90.00
_cell_angle_beta 90.00
_cell_angle_gamma 90.00
_space_group_name_H-M_alt 'P 1'
_space_group_IT_number 1
_space_group_name_Hall 'P 1'
loop_
_atom_site_label
_atom_site_type_symbol
_atom_site_fract_x
_atom_site_fract_y
_atom_site_fract_z
_atom_site_occupancy
I1 I 0.000 0.000 0.000 1
Ge1 Ge 0.500 0.500 0.500 1
Sn1 Sn 0.000 0.500 0.000 1
Sn2 Sn 0.000 0.000 0.500 1
Sn3 Sn 0.500 0.000 0.000 1
```

[3]
VASP calculation (SCAN) on a crystal of KBa2Se relaxed with PBEsol.

For the raw formation energy, the calculation gives -2.451 eV per formula unit. The volume is 157.2 Å³/cell.

```
data_KBa2Se
_chemical_formula_sum 'K1 Ba2 Se1'
_cell_length_a 4.939
_cell_length_b 4.939
_cell_length_c 7.331
_cell_angle_alpha 109.69
_cell_angle_beta 109.69
_cell_angle_gamma 90.00
_space_group_name_H-M_alt 'P 1'
_space_group_IT_number 1
_space_group_name_Hall 'P 1'
loop_
_atom_site_label
_atom_site_type_symbol
_atom_site_fract_x
_atom_site_fract_y
_atom_site_fract_z
_atom_site_occupancy
Ba1 Ba 0.000 0.000 0.000 1
Ba2 Ba 0.750 0.250 0.500 1
K1 K 0.500 0.500 0.000 1
Se1 Se 0.250 0.750 0.500 1
```

[4]
VASP calculation (SCAN) on a crystal of TlTeP2 relaxed with PBEsol.

For the raw formation energy, the calculation gives 0.233 eV per formula unit. The volume is 98.5 Å³/cell.

```
data_TlTeP2
_chemical_formula_sum 'Tl1 Te1 P2'
_cell_length_a 3.235
_cell_length_b 5.579
_cell_length_c 6.469
_cell_angle_alpha 116.82
_cell_angle_beta 90.00
_cell_angle_gamma 106.85
_space_group_name_H-M_alt 'P 1'
_space_group_IT_number 1
_space_group_name_Hall 'P 1'
loop_
_atom_site_label
_atom_site_type_symbol
_atom_site_fract_x
_atom_site_fract_y
_atom_site_fract_z
_atom_site_occupancy
P1 P 0.073 0.146 0.994 1
P2 P 0.656 0.313 0.251 1
Te1 Te 0.484 0.968 0.431 1
Tl1 Tl 0.287 0.574 0.824 1
```

[5]
VASP calculation (SCAN) on a crystal of Nb2Sn2O7 relaxed with PBEsol.

For the raw formation energy, the calculation gives -23.318 eV per formula unit. The volume is 300.2 Å³/cell.

```
data_Nb2Sn2O7
_chemical_formula_sum 'Nb4 Sn4 O14'
_cell_length_a 7.516
_cell_length_b 7.516
_cell_length_c 7.516
_cell_angle_alpha 60.00
_cell_angle_beta 60.00
_cell_angle_gamma 60.00
_space_group_name_H-M_alt 'P 1'
_space_group_IT_number 1
_space_group_name_Hall 'P 1'
loop_
_atom_site_label
_atom_site_type_symbol
_atom_site_fract_x
_atom_site_fract_y
_atom_site_fract_z
_atom_site_occupancy
Nb1 Nb 0.625 0.125 0.125 1
Nb2 Nb 0.125 0.125 0.125 1
Nb3 Nb 0.125 0.625 0.125 1
Nb4 Nb 0.125 0.125 0.625 1
Sn1 Sn 0.625 0.125 0.625 1
Sn2 Sn 0.125 0.625 0.625 1
Sn3 Sn 0.625 0.625 0.625 1
Sn4 Sn 0.625 0.625 0.125 1
O1 O 0.441 0.059 0.441 1
O2 O 0.441 0.441 0.059 1
O3 O 0.191 0.809 0.191 1
O4 O 0.059 0.441 0.441 1
O5 O 0.809 0.191 0.809 1
O6 O 0.441 0.059 0.059 1
O7 O 0.809 0.809 0.191 1
O8 O 0.191 0.809 0.809 1
O9 O 0.750 0.750 0.750 1
O10 O 0.809 0.191 0.191 1
O11 O 0.059 0.059 0.441 1
O12 O 0.191 0.191 0.809 1
O13 O 0.500 0.500 0.500 1
O14 O 0.059 0.441 0.059 1
```

[6]
VASP calculation (SCAN) on a crystal of KF3 relaxed with PBEsol.

For the raw formation energy, the calculation gives -5.972 eV per formula unit. The volume is 83.2 Å³/cell.

```
data_KF3
_chemical_formula_sum 'K1 F3'
_cell_length_a 4.296
_cell_length_b 4.296
_cell_length_c 5.766
_cell_angle_alpha 68.13
_cell_angle_beta 68.13
_cell_angle_gamma 60.00
_space_group_name_H-M_alt 'P 1'
_space_group_IT_number 1
_space_group_name_Hall 'P 1'
loop_
_atom_site_label
_atom_site_type_symbol
_atom_site_fract_x
_atom_site_fract_y
_atom_site_fract_z
_atom_site_occupancy
K1 K 0.500 0.500 0.500 1
F1 F 0.000 0.000 0.000 1
F2 F 0.891 0.891 0.327 1
F3 F 0.109 0.109 0.673 1
```

Among the records above, which one has the highest volume?
Nb2Sn2O7

Which value of volume does entry 1 give?
31.3 Å³/cell

Which value of volume does entry 5 give?
300.2 Å³/cell

What is the formula in the fourth record?
TlTeP2